[1]
Compound: MgAl2O4
Source: the Alexandria database
Functional: SCAN
Structure: single point on PBEsol structure

Unit cell a=5.6598 b=5.7007 c=5.7007 alpha=60.39 beta=60.24 gamma=60.24
With the nearest neighbours (Å) after each atom.
Positions (direct):
O 0.7387 0.2466 0.7466  3 Al 1.83-1.96, 1 Mg 2.05
O 0.7343 0.7648 0.7665  2 Al 1.78-1.89
O 0.2680 0.2466 0.7466  3 Al 1.83-1.96, 1 Mg 2.05
O 0.2657 0.7335 0.7352  2 Al 1.78-1.89
O 0.7320 0.7534 0.2534  3 Al 1.83-1.96, 1 Mg 2.05
O 0.2613 0.7534 0.2534  3 Al 1.83-1.96, 1 Mg 2.05
O 0.2657 0.2352 0.2335  2 Al 1.78-1.89
O 0.7343 0.2665 0.2648  2 Al 1.78-1.89
Al 0.5000 0.5000 0.5000  6 O 1.89-1.96
Al 0.5000 0.0000 0.0000  6 O 1.89-1.96
Al 0.8652 0.8848 0.3848  4 O 1.78-1.83
Al 0.1348 0.1152 0.6152  4 O 1.78-1.83
Mg 0.0000 0.5000 0.0000  6 O 2.01-2.05
Mg 0.5000 0.5000 0.0000  6 O 2.01-2.05

Results
final energy = -9.75 eV/atom
ΔE to the lowest computed polymorph = 39 meV/atom
total moment = 0.00 μB/atom


[2]
Compound: MgAl2O4
Source: the Alexandria database
Functional: SCAN
Structure: single point on PBEsol structure

Unit cell a=2.7933 b=8.6686 c=9.9643 alpha=90.00 beta=90.00 gamma=90.00
With the nearest neighbours (Å) after each atom.
Positions (direct):
O 0.7500 0.5884 0.4292  3 Al 1.88-1.95
O 0.7500 0.7986 0.1685  3 Al 1.94-1.95
O 0.2500 0.2014 0.8315  3 Al 1.94-1.95
O 0.2500 0.1203 0.5290  3 Al 1.94, 2 Mg 2.15
O 0.2500 0.0353 0.2838  3 Al 1.85-1.86
O 0.2500 0.7014 0.6685  3 Al 1.94-1.95
O 0.2500 0.9116 0.9292  3 Al 1.88-1.95
O 0.7500 0.8797 0.4710  3 Al 1.94, 2 Mg 2.15
O 0.2500 0.5353 0.2162  3 Al 1.85-1.86
O 0.2500 0.6203 0.9710  3 Al 1.94, 2 Mg 2.15
O 0.7500 0.9647 0.7162  3 Al 1.85-1.86
O 0.7500 0.2986 0.3315  3 Al 1.94-1.95
O 0.7500 0.3797 0.0290  3 Al 1.94, 2 Mg 2.15
O 0.7500 0.4647 0.7838  3 Al 1.85-1.86
O 0.2500 0.4116 0.5708  3 Al 1.88-1.95
O 0.7500 0.0884 0.0708  3 Al 1.88-1.95
Mg 0.7500 0.2445 0.6526  7 O 2.15-2.31
Mg 0.2500 0.7555 0.3474  7 O 2.15-2.31
Mg 0.2500 0.2555 0.1526  7 O 2.15-2.31
Mg 0.7500 0.7445 0.8474  7 O 2.15-2.31
Al 0.7500 0.5867 0.1034  6 O 1.85-1.95
Al 0.2500 0.4411 0.3836  6 O 1.86-1.95
Al 0.7500 0.0589 0.8836  6 O 1.86-1.95
Al 0.2500 0.9133 0.6034  6 O 1.85-1.95
Al 0.7500 0.5589 0.6164  6 O 1.86-1.95
Al 0.7500 0.0867 0.3966  6 O 1.85-1.95
Al 0.2500 0.9411 0.1164  6 O 1.86-1.95
Al 0.2500 0.4133 0.8966  6 O 1.85-1.95

Results
final energy = -9.71 eV/atom
ΔE to the lowest computed polymorph = 88 meV/atom
total moment = 0.00 μB/atom


[3]
Compound: MgAl2O4
Source: the Alexandria database
Functional: SCAN
Structure: single point on PBEsol structure

Unit cell a=5.7343 b=5.7343 c=5.7343 alpha=60.00 beta=60.00 gamma=60.00
With the nearest neighbours (Å) after each atom.
Positions (direct):
O 0.3886 0.3886 0.8342  3 Al 1.92, 1 Mg 1.95
O 0.8614 0.4158 0.8614  3 Al 1.92, 1 Mg 1.95
O 0.3886 0.8342 0.3886  3 Al 1.92, 1 Mg 1.95
O 0.3886 0.3886 0.3886  3 Al 1.92, 1 Mg 1.95
O 0.8614 0.8614 0.8614  3 Al 1.92, 1 Mg 1.95
O 0.8342 0.3886 0.3886  3 Al 1.92, 1 Mg 1.95
O 0.8614 0.8614 0.4158  3 Al 1.92, 1 Mg 1.95
O 0.4158 0.8614 0.8614  3 Al 1.92, 1 Mg 1.95
Mg 0.2500 0.2500 0.2500  4 O 1.95
Mg 0.0000 0.0000 0.0000  4 O 1.95
Al 0.6250 0.6250 0.6250  6 O 1.92
Al 0.1250 0.6250 0.6250  6 O 1.92
Al 0.6250 0.6250 0.1250  6 O 1.92
Al 0.6250 0.1250 0.6250  6 O 1.92

Results
final energy = -9.79 eV/atom
ΔE to the lowest computed polymorph = 0 meV/atom
total moment = 0.00 μB/atom


[4]
Compound: MgAl2O4
Source: the Alexandria database
Functional: SCAN
Structure: single point on PBEsol structure

Unit cell a=5.7194 b=5.7194 c=14.0723 alpha=90.00 beta=90.00 gamma=120.00
With the nearest neighbours (Å) after each atom.
Positions (direct):
Al 0.6667 0.3333 0.2859  4 O 1.83-1.85
Al 0.1622 0.8378 0.1659  6 O 1.87-2.02
Al 0.8309 0.1691 0.8319  6 O 1.90-1.97
Al 0.6667 0.3333 0.6648  6 O 1.89-1.92
Al 0.4974 0.5026 0.5005  6 O 1.87-2.04
Al 0.0053 0.5026 0.5005  6 O 1.87-2.04
Al 0.8309 0.6618 0.8319  6 O 1.90-1.97
Al 0.6756 0.8378 0.1659  6 O 1.87-2.02
Al 0.3333 0.6667 0.9565  4 O 1.81-1.85
Al 0.4974 0.9947 0.5005  6 O 1.87-2.04
Al 0.1622 0.3244 0.1659  6 O 1.87-2.02
Al 0.3382 0.1691 0.8319  6 O 1.90-1.97
O 0.5192 0.4808 0.7536  3 Al 1.90-1.92, 1 Mg 1.94
O 0.4930 0.5070 0.2420  3 Al 1.83-1.96
O 0.6732 0.8366 0.9085  3 Al 1.81-1.97
O 0.8130 0.1870 0.5783  3 Al 1.89-1.92, 1 Mg 1.95
O 0.6667 0.3333 0.9038  3 Al 1.92, 1 Mg 1.98
O 0.1634 0.3268 0.9085  3 Al 1.81-1.97
O 0.1634 0.8366 0.9085  3 Al 1.81-1.97
O 0.6667 0.3333 0.4174  4 Al 1.85-2.04
O 0.3062 0.1531 0.0934  2 Al 1.87, 2 Mg 1.91-1.99
O 0.8130 0.6259 0.5783  3 Al 1.89-1.92, 1 Mg 1.95
O 0.0000 0.0000 0.2399  3 Al 1.91, 1 Mg 1.95
O 0.3333 0.6667 0.0883  4 Al 1.85-2.02
O 0.3741 0.1870 0.5783  3 Al 1.89-1.92, 1 Mg 1.95
O 0.1794 0.3588 0.4296  2 Al 1.87, 2 Mg 1.92-2.01
O 0.3333 0.6667 0.5736  1 Mg 1.92, 3 Al 1.92
O 0.8469 0.1531 0.0934  2 Al 1.87, 2 Mg 1.91-1.99
O 0.1794 0.8206 0.4296  2 Al 1.87, 2 Mg 1.92-2.01
O 0.0000 0.0000 0.7665  3 Al 1.91, 1 Mg 2.03
O 0.8469 0.6938 0.0934  2 Al 1.87, 2 Mg 1.91-1.99
O 0.6412 0.8206 0.4296  2 Al 1.87, 2 Mg 1.92-2.01
O 0.4930 0.9859 0.2420  3 Al 1.83-1.96
O 0.0141 0.5070 0.2420  3 Al 1.83-1.96
O 0.5192 0.0384 0.7536  3 Al 1.90-1.92, 1 Mg 1.94
O 0.9616 0.4808 0.7536  3 Al 1.90-1.92, 1 Mg 1.94
Mg 0.3333 0.6667 0.3360  6 O 2.01-2.06
Mg 0.0000 0.0000 0.3787  4 O 1.92-1.95
Mg 0.0000 0.0000 0.0014  6 O 1.99-2.08
Mg 0.0000 0.0000 0.6221  4 O 1.95-2.03
Mg 0.6667 0.3333 0.0448  4 O 1.91-1.98
Mg 0.3333 0.6667 0.7098  4 O 1.92-1.94

Results
final energy = -9.77 eV/atom
ΔE to the lowest computed polymorph = 24 meV/atom
total moment = 0.00 μB/atom


[5]
Compound: MgAl6O10
Source: the Alexandria database
Functional: SCAN
Structure: single point on PBEsol structure

Unit cell a=5.6367 b=5.6367 c=23.3439 alpha=90.36 beta=96.70 gamma=119.38
With the nearest neighbours (Å) after each atom.
Positions (direct):
Al 0.5904 0.8123 0.4027  6 O 1.84-2.00
Al 0.0081 0.9851 0.9932  4 O 1.79-1.97
Al 0.7543 0.8677 0.6220  4 O 1.74-1.88
Al 0.9554 0.4717 0.4271  4 O 1.76-1.86
Al 0.8044 0.4026 0.7002  6 O 1.86-1.96
Al 0.8995 0.6952 0.0988  6 O 1.88-1.97
Al 0.9992 0.0025 0.5006  6 O 1.80-2.01
Al 0.2981 0.4019 0.7001  6 O 1.85-1.94
Al 0.1921 0.6091 0.8012  6 O 1.84-2.00
Al 0.3544 0.6648 0.0193  4 O 1.74-1.87
Al 0.0997 0.2974 0.8986  5 O 1.80-1.97
Al 0.5572 0.2680 0.8252  4 O 1.76-1.87
Al 0.2016 0.6046 0.3017  6 O 1.86-1.95
Al 0.8004 0.4005 0.2009  6 O 1.87-1.94
Al 0.6457 0.3270 0.9728  4 O 1.74-1.85
Al 0.6012 0.7990 0.8986  5 O 1.80-1.97
Al 0.9005 0.1981 0.0986  6 O 1.88-1.93
Al 0.2975 0.8957 0.7002  6 O 1.86-1.96
Al 0.4068 0.1881 0.5948  4 O 1.79-1.97
Al 0.6969 0.6048 0.3018  6 O 1.86-1.94
Al 0.4035 0.1993 0.0988  6 O 1.88-1.97
Al 0.4981 0.5013 0.5006  6 O 1.80-2.01
Al 0.0437 0.5304 0.5741  4 O 1.74-1.84
Al 0.6971 0.1001 0.3017  6 O 1.86-1.95
O 0.8095 0.1424 0.9519  2 Al 1.79-1.92
O 0.0607 0.5277 0.1453  3 Al 1.88-1.94, 1 Mg 1.94
O 0.5909 0.5290 0.6536  4 Al 1.87-2.08
O 0.1021 0.5515 0.6537  4 Al 1.84-1.94
O 0.9797 0.7135 0.2525  3 Al 1.88-1.93, 1 Mg 1.92
O 0.8997 0.9622 0.8619  2 Al 1.80, 1 Mg 1.88
O 0.4133 0.4855 0.3465  3 Al 1.86-1.99, 1 Mg 1.97
O 0.5390 0.2728 0.2525  3 Al 1.88-1.93, 1 Mg 1.92
O 0.0111 0.7346 0.7457  3 Al 1.88-1.91, 1 Mg 1.98
O 0.4968 0.2474 0.7442  4 Al 1.87-1.94
O 0.7214 0.8583 0.0516  3 Al 1.86-1.93
O 0.2078 0.3458 0.5536  2 Al 1.79-1.93
O 0.7064 0.8404 0.5468  3 Al 1.74-1.92
O 0.3940 0.4554 0.8494  4 Al 1.83-2.00
O 0.4082 0.9388 0.3470  3 Al 1.89-1.92, 1 Mg 1.97
O 0.1245 0.0627 0.6536  4 Al 1.87-2.08
O 0.2980 0.1659 0.4639  2 Al 1.80, 1 Mg 1.88
O 0.7921 0.6593 0.4514  4 Al 1.83-2.00
O 0.2913 0.1679 0.9537  2 Al 1.74-1.79
O 0.1844 0.8659 0.5552  2 Al 1.74-1.79
O 0.8103 0.1336 0.4474  3 Al 1.76-1.92
O 0.4598 0.7292 0.7451  3 Al 1.85-1.98, 1 Mg 1.97
O 0.0961 0.0431 0.1392  3 Al 1.89, 1 Mg 2.02
O 0.1933 0.3302 0.0516  3 Al 1.86-1.93
O 0.3138 0.6371 0.4474  3 Al 1.76-1.92
O 0.3073 0.6368 0.9441  3 Al 1.74-1.91
O 0.1961 0.8536 0.0497  4 Al 1.87-1.97
O 0.7045 0.3483 0.0528  4 Al 1.85-1.94
O 0.9821 0.2708 0.2529  3 Al 1.87-1.93, 1 Mg 1.92
O 0.5013 0.7559 0.2572  1 Mg 1.90, 3 Al 1.92
O 0.6176 0.0846 0.1453  3 Al 1.88-1.94, 1 Mg 1.94
O 0.6157 0.5294 0.1451  3 Al 1.88-1.94, 1 Mg 1.93
O 0.8610 0.9332 0.3465  3 Al 1.86-1.99, 1 Mg 1.97
O 0.8948 0.4520 0.3468  4 Al 1.86-1.95
O 0.6893 0.3708 0.5552  2 Al 1.74-1.79
O 0.0160 0.2854 0.7451  3 Al 1.85-1.98, 1 Mg 1.97
O 0.4124 0.9306 0.8457  3 Al 1.76-1.92
O 0.9150 0.4333 0.8457  3 Al 1.76-1.92
O 0.7858 0.6624 0.9537  2 Al 1.74-1.79
O 0.5940 0.0579 0.6519  4 Al 1.88-1.97
Mg 0.4494 0.7255 0.1748  4 O 1.90-1.94
Mg 0.8484 0.9321 0.7804  4 O 1.88-1.98
Mg 0.2475 0.1352 0.3827  4 O 1.88-1.97
Mg 0.1513 0.0751 0.2264  4 O 1.92-2.02

Results
final energy = -9.98 eV/atom
total moment = 0.00 μB/atom


[6]
Compound: MgAl2O4
Source: the Alexandria database
Functional: SCAN
Structure: single point on PBEsol structure

Unit cell a=5.7234 b=5.7322 c=32.9524 alpha=94.92 beta=90.00 gamma=119.95
With the nearest neighbours (Å) after each atom.
Positions (direct):
O 0.7322 0.4645 0.2520  3 Al 1.92, 1 Mg 1.94
O 0.1247 0.2494 0.3195  3 Al 1.92, 1 Mg 1.95
O 0.4630 0.9260 0.8891  4 Al 1.82-1.98
O 0.8321 0.1361 0.9613  3 Al 1.81-2.02
O 0.2673 0.9801 0.7479  3 Al 1.92, 1 Mg 1.94
O 0.8356 0.6712 0.9712  1 Al 1.81, 3 Mg 1.92-1.96
O 0.3040 0.1361 0.9613  3 Al 1.81-2.02
O 0.1644 0.3288 0.0288  1 Al 1.81, 3 Mg 1.92-1.96
O 0.5702 0.6945 0.3194  3 Al 1.92, 1 Mg 1.95
O 0.7129 0.9801 0.7479  3 Al 1.92, 1 Mg 1.94
O 0.3103 0.6205 0.9594  2 Al 1.78-1.90
O 0.6807 0.3614 0.5416  3 Al 1.92, 1 Mg 1.95
O 0.5882 0.1764 0.8233  3 Al 1.91-1.92, 1 Mg 1.95
O 0.2847 0.1232 0.4623  3 Al 1.92, 1 Mg 1.95
O 0.9804 0.9609 0.8891  3 Al 1.90-1.93, 1 Mg 1.97
O 0.8753 0.7506 0.6805  3 Al 1.92, 1 Mg 1.95
O 0.4114 0.2648 0.1765  3 Al 1.91-1.92, 1 Mg 1.95
O 0.8385 0.1232 0.4623  3 Al 1.92, 1 Mg 1.95
O 0.9779 0.4076 0.8893  3 Al 1.90-1.93, 1 Mg 1.98
O 0.2678 0.5355 0.7480  3 Al 1.92, 1 Mg 1.94
O 0.5370 0.0740 0.1109  4 Al 1.82-1.98
O 0.7480 0.4961 0.7445  3 Al 1.93, 1 Mg 1.96
O 0.5703 0.5924 0.1107  3 Al 1.90-1.93, 1 Mg 1.98
O 0.7327 0.0199 0.2521  3 Al 1.92, 1 Mg 1.94
O 0.0196 0.0391 0.1109  3 Al 1.90-1.93, 1 Mg 1.97
O 0.8907 0.7813 0.1739  3 Al 1.92, 1 Mg 1.93
O 0.6960 0.8639 0.0387  3 Al 1.81-2.02
O 0.1243 0.6945 0.3194  3 Al 1.92, 1 Mg 1.95
O 0.6050 0.2100 0.3156  3 Al 1.92-1.93, 1 Mg 1.94
O 0.2871 0.0199 0.2521  3 Al 1.92, 1 Mg 1.94
O 0.8757 0.3055 0.6806  3 Al 1.92, 1 Mg 1.95
O 0.2520 0.5039 0.2555  3 Al 1.93, 1 Mg 1.96
O 0.1093 0.2187 0.8261  3 Al 1.92, 1 Mg 1.93
O 0.4467 0.8933 0.3947  3 Al 1.92, 1 Mg 1.95
O 0.5529 0.5518 0.6052  3 Al 1.92, 1 Mg 1.95
O 0.0221 0.5924 0.1107  3 Al 1.90-1.93, 1 Mg 1.98
O 0.1466 0.7352 0.8235  3 Al 1.91-1.92, 1 Mg 1.95
O 0.6897 0.3795 0.0406  2 Al 1.78-1.90
O 0.4471 0.4482 0.3948  3 Al 1.92, 1 Mg 1.95
O 0.0336 0.0672 0.6013  3 Al 1.92, 1 Mg 1.95
O 0.1679 0.8639 0.0387  3 Al 1.81-2.02
O 0.4118 0.8236 0.1767  3 Al 1.91-1.92, 1 Mg 1.95
O 0.5886 0.7352 0.8235  3 Al 1.91-1.92, 1 Mg 1.95
O 0.0011 0.4482 0.3948  3 Al 1.92, 1 Mg 1.95
O 0.9664 0.9328 0.3987  3 Al 1.92, 1 Mg 1.95
O 0.8390 0.6779 0.4624  3 Al 1.92, 1 Mg 1.95
O 0.3950 0.7900 0.6844  3 Al 1.92-1.93, 1 Mg 1.94
O 0.9989 0.5518 0.6052  3 Al 1.92, 1 Mg 1.95
O 0.5533 0.1067 0.6053  3 Al 1.92, 1 Mg 1.95
O 0.7153 0.8768 0.5377  3 Al 1.92, 1 Mg 1.95
O 0.4298 0.3055 0.6806  3 Al 1.92, 1 Mg 1.95
O 0.3193 0.6386 0.4584  3 Al 1.92, 1 Mg 1.95
O 0.8534 0.2648 0.1765  3 Al 1.91-1.92, 1 Mg 1.95
O 0.1615 0.8768 0.5377  3 Al 1.92, 1 Mg 1.95
O 0.1610 0.3221 0.5376  3 Al 1.92, 1 Mg 1.95
O 0.4297 0.4076 0.8893  3 Al 1.90-1.93, 1 Mg 1.98
Al 0.7143 0.4286 0.6429  6 O 1.92
Al 0.4284 0.8568 0.7856  6 O 1.92
Al 0.0714 0.6430 0.7143  6 O 1.92-1.93
Al 0.2840 0.5680 0.8567  6 O 1.91-1.98
Al 0.1428 0.2857 0.4285  6 O 1.92
Al 0.5715 0.1430 0.7143  6 O 1.92-1.93
Al 0.2857 0.5714 0.3571  6 O 1.92
Al 0.8572 0.2143 0.5715  6 O 1.92
Al 0.8582 0.7165 0.0731  6 O 1.90-1.95
Al 0.1428 0.7857 0.4285  6 O 1.92
Al 0.5716 0.6430 0.7143  6 O 1.92-1.93
Al 0.2118 0.9274 0.1435  6 O 1.90-1.98
Al 0.7160 0.4320 0.1433  6 O 1.91-1.98
Al 0.4284 0.3570 0.2857  6 O 1.92-1.93
Al 0.0000 0.0000 0.0000  6 O 1.81-2.02
Al 0.4285 0.8570 0.2857  6 O 1.92-1.93
Al 0.8572 0.7143 0.5715  6 O 1.92
Al 0.7882 0.0726 0.8565  6 O 1.90-1.98
Al 0.4777 0.9554 0.9447  4 O 1.78-1.82
Al 0.5716 0.1432 0.2144  6 O 1.92
Al 0.9286 0.3570 0.2857  6 O 1.92-1.93
Al 0.5223 0.0446 0.0553  4 O 1.78-1.82
Al 0.3572 0.2143 0.5715  6 O 1.92
Al 0.2844 0.0726 0.8565  6 O 1.90-1.98
Al 0.0000 0.0000 0.5000  6 O 1.92
Al 0.6428 0.7857 0.4285  6 O 1.92
Al 0.1418 0.2835 0.9269  6 O 1.90-1.95
Al 0.7156 0.9274 0.1435  6 O 1.90-1.98
Mg 0.9465 0.8930 0.3393  4 O 1.95
Mg 0.9107 0.8214 0.2328  4 O 1.93-1.94
Mg 0.3752 0.7503 0.6251  4 O 1.94-1.95
Mg 0.3392 0.6783 0.5178  4 O 1.95
Mg 0.0535 0.1070 0.6607  4 O 1.95
Mg 0.0893 0.1786 0.7672  4 O 1.93-1.94
Mg 0.1942 0.3884 0.0873  4 O 1.92-1.98
Mg 0.6248 0.2497 0.3749  4 O 1.94-1.95
Mg 0.8058 0.6116 0.9127  4 O 1.92-1.98
Mg 0.2320 0.4639 0.1957  4 O 1.95-1.96
Mg 0.6608 0.3217 0.4822  4 O 1.95
Mg 0.0000 0.5000 0.0000  6 O 1.96-2.11
Mg 0.5000 0.5000 0.0000  6 O 1.96-2.11
Mg 0.7680 0.5361 0.8043  4 O 1.95-1.96

Results
final energy = -9.79 eV/atom
ΔE to the lowest computed polymorph = 6 meV/atom
total moment = 0.00 μB/atom


Calculated formation energy (no corrections), -3.27; -3.22; -3.31; -3.28; -3.28; -3.30 eV per atom (same order as the records).